DFT (GGA-PBE) results for a relaxed structure of SrMnNb2H.

a = 5.135 Å, b = 5.135 Å, c = 3.377 Å
α = 90.00°, β = 90.00°, γ = 90.00°
Space group P4/mmm (No. 123)
One atom of each set of equivalent atoms:
Sr 0.000 0.000 0.000 [1 per cell]
Mn 0.500 0.500 0.500 [1 per cell]
Nb 0.000 0.500 0.000 [2 per cell]
H 0.000 0.000 0.500 [1 per cell]

Calculated values
Fermi-level density of states: 1.485 states/eV per atom
Calculated volume: 17.80 A^3/atom
Total DFT energy (no corrections): -4.6161 eV/atom